Density functional theory data (PBE-GGA) for crystalline LaErAlCu at its relaxed geometry. Values from VASP.

Geometry as Quantum ESPRESSO input:
```
&SYSTEM
  ibrav = 0, nat = 4, ntyp = 4
/
ATOMIC_SPECIES
La 138.91 La.upf
Er 167.26 Er.upf
Al 26.98 Al.upf
Cu 63.55 Cu.upf
CELL_PARAMETERS angstrom
0.000 3.650 3.650
3.650 0.000 3.650
3.650 3.650 0.000
ATOMIC_POSITIONS crystal
La 0.000 0.000 0.000
Er 0.500 0.500 0.500
Al 0.750 0.750 0.750
Cu 0.250 0.250 0.250
```

Values from the calculation:
ΔE_f (eV/atom): -0.233